# RbSr2AsN, optimized geometry, DFT PBE-GGA
# DOS(E_F), states/eV/cell: 3.0
# Formation energy (no corrections), meV per atom: -348
# Magnetic moment, μB per cell: 0.9
# Crystal system: tetragonal
# Energy, eV/atom: -3.809
data_RbSr2AsN
_cell_length_a 5.242
_cell_length_b 5.242
_cell_length_c 5.228
_cell_angle_alpha 90.00
_cell_angle_beta 90.00
_cell_angle_gamma 90.00
_symmetry_space_group_name_H-M 'P 4/m m m'
_symmetry_Int_Tables_number 123
_symmetry_space_group_name_Hall '-P 4 2'
loop_
_atom_site_label
_atom_site_type_symbol
_atom_site_fract_x
_atom_site_fract_y
_atom_site_fract_z
Rb1 Rb 0.000 0.000 0.000
Sr1 Sr 0.000 0.500 0.500
As1 As 0.500 0.500 0.000
N1 N 0.000 0.000 0.500